VCd2RuO6 | PBE+U | relaxed

a b c (Å): 5.6371 5.6371 3.8360
angles (deg): 90.00 90.00 90.00
Last column: nearest neighbours and their distance in Å.
Element x y z (fractional)
V (0.0000, 0.0000, 0.0000)  1 O 1.75
Cd (0.0000, 0.5000, 0.4211)  4 O 2.41
Cd (0.5000, 0.0000, 0.4211)  4 O 2.41
Ru (0.5000, 0.5000, 0.0425)  6 O 1.91-2.02
O (0.0000, 0.0000, 0.5448)  1 V 1.75
O (0.2473, 0.2473, 0.0690)  1 V 1.99, 1 Ru 2.02
O (0.2473, 0.7527, 0.0690)  1 V 1.99, 1 Ru 2.02
O (0.5000, 0.5000, 0.5452)  2 Ru 1.91-1.93
O (0.7527, 0.2473, 0.0690)  1 V 1.99, 1 Ru 2.02
O (0.7527, 0.7527, 0.0690)  1 V 1.99, 1 Ru 2.02

Calculated values
Its symmetry is P4mm, No. 99. The value obtained for the total DFT energy (no corrections) is -0.4343 Ry/atom. For the size of the total moment, the calculation gives 0.0 μB/cell.